# 1
A crystal of MnAgAu relaxed with PBEsol. Source: Alexandria, functional meta-GGA SCAN.

```
MnAgAu
1.0
-1.606 1.719 4.306
1.606 -1.719 4.306
1.606 1.719 -4.306
Mn Ag Au
1 1 1
direct
0.000 0.000 0.000 Mn
0.667 0.667 0.000 Ag
0.343 0.343 0.000 Au
```

Summary:
* theoretical density: 12.570 Mg/m³
* energy of formation: -0.285 eV per atom

=====

# 2
A crystal of CdIn2Re relaxed with PBEsol. Source: Alexandria, functional meta-GGA SCAN.

```
CdIn2Re
1.0
3.010 0.000 0.000
0.000 4.317 0.000
0.000 0.000 5.838
Cd In Re
1 2 1
direct
0.000 0.000 0.000 Cd
0.000 0.000 0.530 In
0.500 0.500 0.239 In
0.500 0.500 0.741 Re
```

Summary:
* theoretical density: 11.561 Mg/m³
* energy of formation: 0.580 eV per atom

=====

Copy entry 1 word for word.
A crystal of MnAgAu relaxed with PBEsol. Source: Alexandria, functional meta-GGA SCAN.

```
MnAgAu
1.0
-1.606 1.719 4.306
1.606 -1.719 4.306
1.606 1.719 -4.306
Mn Ag Au
1 1 1
direct
0.000 0.000 0.000 Mn
0.667 0.667 0.000 Ag
0.343 0.343 0.000 Au
```

Summary:
* theoretical density: 12.570 Mg/m³
* energy of formation: -0.285 eV per atom